Entry 1:
VASP calculation (PBE-GGA) on a relaxed NdZrHg crystal.

Computed properties:
Calculated formation energy in meV/atom: -149
Space group: I4mm (107)
DOS at the Fermi energy in states/eV/atom: 0.538
Energy above the lowest structure with this stoichiometry in meV/atom: 20

a = 6.865 Å, b = 6.865 Å, c = 6.865 Å
α = 150.36°, β = 150.36°, γ = 42.41°
Positions (direct):
Nd 0.000 0.000 0.000
Zr 0.318 0.318 0.000
Hg 0.681 0.681 0.000

Entry 2:
VASP calculation (PBE-GGA) on a relaxed KSe2S2 crystal.

Computed properties:
Energy relative to the elements, uncorrected in meV/atom: -272
Space group: C2/c (15)
DOS at the Fermi energy in states/eV/atom: 0.166
Energy above the lowest structure with this stoichiometry in meV/atom: 0

a = 8.986 Å, b = 8.986 Å, c = 7.505 Å
α = 96.36°, β = 96.36°, γ = 142.63°
Positions (direct):
K 0.098 0.902 0.750
K 0.902 0.098 0.250
Se 0.001 0.588 0.146
Se 0.412 0.999 0.354
Se 0.588 0.001 0.646
Se 0.999 0.412 0.854
S 0.393 0.467 0.076
S 0.467 0.393 0.576
S 0.533 0.607 0.424
S 0.607 0.533 0.924

Entry 3:
VASP calculation (PBE-GGA) on a relaxed SiMoRuPb2 crystal.

Computed properties:
Energy relative to the elements, uncorrected in meV/atom: 1371
Space group: P4/mmm (123)
DOS at the Fermi energy in states/eV/atom: 0.929

a = 5.239 Å, b = 5.239 Å, c = 4.329 Å
α = 90.00°, β = 90.00°, γ = 90.00°
Positions (direct):
Si 0.000 0.000 0.000
Mo 0.500 0.500 0.500
Ru 0.000 0.000 0.500
Pb 0.000 0.500 0.000
Pb 0.500 0.000 0.000